Entry 1:
Density functional theory data (PBE) for a relaxed Cr2CoCl crystal.

Properties
SG = No. 6
relative energy among the computed polymorphs = 0.0 kJ per mole of atoms

Cell lengths 3.0075, 2.9102, 6.6389 Å; angles 90.00, 90.03, 90.00 degrees
With the nearest neighbours (Å) after each atom.
Fractional coordinates of all 4 atoms:
Cr1 0.0000 0.0000 0.0000  2 Cl 2.49, 4 Cr 2.53-2.54, 1 Co 2.64
Cr2 0.4991 0.5000 0.7846  4 Co 2.42, 4 Cr 2.53-2.54
Co1 0.9991 0.0000 0.6020  5 Cr 2.42-2.64, 2 Cl 2.46
Cl1 0.0024 0.5000 0.3035  2 Co 2.46, 2 Cr 2.49


Entry 2:
Density functional theory data (PBE) for a relaxed CrCo2Cl crystal.

Properties
SG = No. 65
relative energy among the computed polymorphs = 41.0 kJ per mole of atoms

Cell lengths 4.6544, 4.6544, 2.8309 Å; angles 90.00, 90.00, 118.66 degrees
With the nearest neighbours (Å) after each atom.
Fractional coordinates of all 4 atoms:
Cr1 0.0000 0.0000 0.0000  2 Cl 2.37
Co1 0.0000 0.5000 0.5000  2 Co 2.37
Co2 0.5000 0.0000 0.5000  2 Co 2.37
Cl1 0.5000 0.5000 0.0000  2 Cr 2.37


Entry 3:
Density functional theory data (PBE) for a relaxed Cr2CoCl crystal.

Properties
SG = No. 8
relative energy among the computed polymorphs = 23.3 kJ per mole of atoms

Cell lengths 4.7709, 4.7709, 4.1625 Å; angles 90.13, 90.13, 35.20 degrees
With the nearest neighbours (Å) after each atom.
Fractional coordinates of all 4 atoms:
Cr1 0.0000 0.0000 0.0000  1 Cl 2.40, 2 Co 2.41, 2 Cr 2.66
Cr2 0.7105 0.7105 0.2766  4 Cl 2.49-2.60, 3 Co 2.59-2.60, 2 Cr 2.66
Co1 0.4365 0.4365 0.4408  1 Cl 2.23, 2 Cr 2.41
Cl1 0.2403 0.2403 0.7610  1 Co 2.23, 3 Cr 2.40-2.49


Entry 4:
Density functional theory data (PBE) for a relaxed CrCoCl2 crystal.

Properties
SG = No. 225
relative energy among the computed polymorphs = 48.9 kJ per mole of atoms

Cell lengths 4.5021, 4.5021, 4.5021 Å; angles 60.00, 60.00, 60.00 degrees
With the nearest neighbours (Å) after each atom.
Fractional coordinates of all 4 atoms:
Cr1 0.0000 0.0000 0.0000  8 Cl 2.76
Co1 0.5000 0.5000 0.5000  8 Cl 2.76
Cl1 0.2500 0.2500 0.2500  4 Co 2.76, 4 Cr 2.76
Cl2 0.7500 0.7500 0.7500  4 Co 2.76, 4 Cr 2.76


Entry 5:
Density functional theory data (PBE) for a relaxed Cr2CoCl crystal.

Properties
SG = No. 35
relative energy among the computed polymorphs = 18.8 kJ per mole of atoms

Cell lengths 2.8324, 2.8324, 7.6355 Å; angles 90.00, 90.00, 116.11 degrees
With the nearest neighbours (Å) after each atom.
Fractional coordinates of all 4 atoms:
Cr1 0.0000 0.0000 0.0000  2 Cr 2.29, 2 Cl 2.49
Cr2 0.5000 0.5000 0.2273  2 Cr 2.29, 2 Co 2.38
Co1 0.0000 0.0000 0.4700  2 Cr 2.38, 2 Cl 2.55
Cl1 0.5000 0.5000 0.7396  2 Cr 2.49, 2 Co 2.55


Entry 6:
Density functional theory data (PBE) for a relaxed CrCo2Cl crystal.

Properties
SG = No. 160
relative energy among the computed polymorphs = 7.7 kJ per mole of atoms

Cell lengths 8.8723, 8.8723, 8.8723 Å; angles 17.71, 17.71, 17.71 degrees
With the nearest neighbours (Å) after each atom.
Fractional coordinates of all 4 atoms:
Cr1 0.0000 0.0000 0.0000  3 Cl 2.29, 3 Co 2.55
Co1 0.2567 0.2567 0.2567  3 Co 2.42, 3 Cr 2.55
Co2 0.5200 0.5200 0.5200  3 Co 2.42
Cl1 0.7298 0.7298 0.7298  3 Cr 2.29


Entry 7:
Density functional theory data (PBE) for a relaxed CrCoCl2 crystal.

Properties
SG = No. 12
relative energy among the computed polymorphs = 7.2 kJ per mole of atoms

Cell lengths 6.6517, 6.6517, 4.1940 Å; angles 95.58, 95.58, 28.48 degrees
With the nearest neighbours (Å) after each atom.
Fractional coordinates of all 4 atoms:
Cr1 0.0000 0.0000 0.0000  4 Cl 2.44, 4 Co 2.66
Co1 0.5000 0.5000 0.5000  2 Cl 2.14
Cl1 0.3709 0.3709 0.7833  1 Co 2.14
Cl2 0.6291 0.6291 0.2167  1 Co 2.14


Entry 8:
Density functional theory data (PBE) for a relaxed CrCo2Cl crystal.

Properties
SG = No. 12
relative energy among the computed polymorphs = 26.3 kJ per mole of atoms

Cell lengths 4.5907, 4.5907, 4.0851 Å; angles 90.67, 90.67, 35.65 degrees
With the nearest neighbours (Å) after each atom.
Fractional coordinates of all 4 atoms:
Cr1 0.0000 0.0000 0.0000  4 Cl 2.48, 6 Co 2.54-2.63
Co1 0.2803 0.2803 0.7733  1 Cl 2.23, 2 Co 2.39
Co2 0.7197 0.7197 0.2267  1 Cl 2.23, 2 Co 2.39
Cl1 0.5000 0.5000 0.5000  2 Co 2.23, 4 Cr 2.48


Entry 9:
Density functional theory data (PBE) for a relaxed CrCoCl2 crystal.

Properties
SG = No. 10
relative energy among the computed polymorphs = 33.3 kJ per mole of atoms

Cell lengths 3.6049, 3.7087, 5.5204 Å; angles 90.00, 94.19, 90.00 degrees
With the nearest neighbours (Å) after each atom.
Fractional coordinates of all 4 atoms:
Cr1 0.0000 0.0000 0.0000  4 Cl 2.50
Co1 0.5000 0.0000 0.5000  4 Cl 2.39
Cl1 0.2774 0.5000 0.2586  2 Co 2.39, 2 Cr 2.50
Cl2 0.7226 0.5000 0.7414  2 Co 2.39, 2 Cr 2.50


Entry 10:
Density functional theory data (PBE) for a relaxed CrCo3Cl crystal.

Properties
SG = No. 221
relative energy among the computed polymorphs = 0.0 kJ per mole of atoms

Cell lengths 4.0672, 4.0672, 4.0672 Å; angles 90.00, 90.00, 90.00 degrees
With the nearest neighbours (Å) after each atom.
Fractional coordinates of all 5 atoms:
Cr1 0.0000 0.0000 0.0000  12 Co 2.88
Co1 0.0000 0.5000 0.5000  2 Cl 2.03
Co2 0.5000 0.0000 0.5000  2 Cl 2.03
Co3 0.5000 0.5000 0.0000  2 Cl 2.03
Cl1 0.5000 0.5000 0.5000  6 Co 2.03


Entry 11:
Density functional theory data (PBE) for a relaxed CrCo2Cl crystal.

Properties
SG = No. 139
relative energy among the computed polymorphs = 39.1 kJ per mole of atoms

Cell lengths 5.4821, 5.4821, 5.4821 Å; angles 143.71, 143.71, 52.26 degrees
With the nearest neighbours (Å) after each atom.
Fractional coordinates of all 4 atoms:
Cr1 0.0000 0.0000 0.0000  4 Cl 2.41
Co1 0.2500 0.7500 0.5000  4 Co 2.41
Co2 0.7500 0.2500 0.5000  4 Co 2.41
Cl1 0.5000 0.5000 0.0000  4 Cr 2.41


Entry 12:
Density functional theory data (PBE) for a relaxed CrCoCl2 crystal.

Properties
SG = No. 47
relative energy among the computed polymorphs = 36.9 kJ per mole of atoms

Cell lengths 3.1935, 3.7766, 6.2150 Å; angles 90.00, 90.00, 90.00 degrees
With the nearest neighbours (Å) after each atom.
Fractional coordinates of all 4 atoms:
Cr1 0.0000 0.0000 0.0000  4 Cl 2.47
Co1 0.5000 0.0000 0.5000  4 Cl 2.47
Cl1 0.0000 0.5000 0.5000  4 Co 2.47
Cl2 0.5000 0.5000 0.0000  4 Cr 2.47


Entry 13:
Density functional theory data (PBE) for a relaxed CrCoCl2 crystal.

Properties
SG = No. 166
relative energy among the computed polymorphs = 29.6 kJ per mole of atoms

Cell lengths 5.7214, 5.7214, 5.7214 Å; angles 39.40, 39.40, 39.40 degrees
With the nearest neighbours (Å) after each atom.
Fractional coordinates of all 4 atoms:
Cr1 0.0000 0.0000 0.0000  6 Cl 2.65
Co1 0.5000 0.5000 0.5000  6 Cl 2.53
Cl1 0.2429 0.2429 0.2429  3 Co 2.53, 3 Cr 2.65
Cl2 0.7571 0.7571 0.7571  3 Co 2.53, 3 Cr 2.65


Entry 14:
Density functional theory data (PBE) for a relaxed CrCoCl2 crystal.

Properties
SG = No. 65
relative energy among the computed polymorphs = 36.5 kJ per mole of atoms

Cell lengths 3.6257, 3.6257, 6.7641 Å; angles 90.00, 90.00, 121.12 degrees
With the nearest neighbours (Å) after each atom.
Fractional coordinates of all 4 atoms:
Cr1 0.0000 0.0000 0.0000  4 Cl 2.52
Co1 0.0000 0.0000 0.5000  4 Cl 2.39
Cl1 0.5000 0.5000 0.2637  2 Co 2.39, 2 Cr 2.52
Cl2 0.5000 0.5000 0.7363  2 Co 2.39, 2 Cr 2.52


Entry 15:
Density functional theory data (PBE) for a relaxed Cr2CoCl crystal.

Properties
SG = No. 47
relative energy among the computed polymorphs = 40.3 kJ per mole of atoms

Cell lengths 2.9517, 4.2310, 4.2879 Å; angles 90.00, 90.00, 90.00 degrees
With the nearest neighbours (Å) after each atom.
Fractional coordinates of all 4 atoms:
Cr1 0.0000 0.0000 0.0000  4 Cl 2.58, 4 Cr 2.60
Cr2 0.5000 0.0000 0.5000  4 Co 2.58, 4 Cr 2.60
Co1 0.0000 0.5000 0.5000  4 Cr 2.58, 4 Cl 2.60
Cl1 0.5000 0.5000 0.0000  4 Cr 2.58, 4 Co 2.60